A geometry-optimized Ce3HfTh2N6 structure. Source: Alexandria via LeMat-Bulk, functional PBE.

Unit cell a=6.149 b=10.642 c=6.108 alpha=90.00 beta=109.52 gamma=90.00
Space group C2/m (No. 12)
Inequivalent atoms, fractional coordinates:
1 Ce 0.000 0.000 0.000 x2
2 Ce 0.000 0.334 0.000 x4
3 Hf 0.000 0.500 0.500 x2
4 Th 0.000 0.167 0.500 x4
5 N 0.229 0.500 0.262 x4
6 N 0.231 0.346 0.732 x8

Properties
formation energy (no corrections) = -1566 meV per atom


A geometry-optimized CeHfThN3 structure. Source: Alexandria via LeMat-Bulk, functional PBE.

Unit cell a=3.342 b=5.557 c=9.675 alpha=90.00 beta=90.00 gamma=90.00
Space group Pmmn (No. 59, origin choice 2)
Inequivalent atoms, fractional coordinates:
1 Ce 0.250 0.250 0.248 x2
2 Hf 0.250 0.750 0.049 x2
3 Th 0.250 0.250 0.620 x2
4 N 0.250 0.009 0.867 x4
5 N 0.250 0.750 0.567 x2

Properties
formation energy (no corrections) = -1426 meV per atom


A geometry-optimized Ce2HfThN5 structure. Source: Alexandria via LeMat-Bulk, functional PBE.

Unit cell a=3.516 b=15.249 c=10.163 alpha=90.00 beta=90.00 gamma=90.00
Space group Cmc2_1 (No. 36)
Inequivalent atoms, fractional coordinates:
1 Ce 0.000 0.130 0.000 x4
2 Ce 0.000 0.147 0.580 x4
3 Hf 0.000 0.226 0.295 x4
4 Th 0.000 0.477 0.781 x4
5 N 0.000 0.093 0.363 x4
6 N 0.000 0.271 0.953 x4
7 N 0.000 0.301 0.670 x4
8 N 0.000 0.364 0.273 x4
9 N 0.000 0.478 0.542 x4

Properties
formation energy (no corrections) = -1358 meV per atom


A geometry-optimized CeHfTh2N4 structure. Source: Alexandria via LeMat-Bulk, functional PBE.

Unit cell a=6.107 b=3.466 c=6.132 alpha=90.00 beta=108.70 gamma=90.00
Space group P2/m (No. 10)
Inequivalent atoms, fractional coordinates:
1 Ce 0.000 0.000 0.000 x1
2 Hf 0.500 0.500 0.000 x1
3 Th 0.000 0.500 0.500 x1
4 Th 0.500 0.000 0.500 x1
5 N 0.266 0.500 0.225 x2
6 N 0.280 0.000 0.782 x2

Properties
formation energy (no corrections) = -1568 meV per atom


A geometry-optimized Ce2HfTiN5 structure. Source: Alexandria via LeMat-Bulk, functional PBE.

Unit cell a=3.371 b=13.487 c=10.383 alpha=90.00 beta=90.00 gamma=90.00
Space group Cmc2_1 (No. 36)
Inequivalent atoms, fractional coordinates:
1 Ce 0.000 0.113 0.000 x4
2 Ce 0.000 0.140 0.593 x4
3 Hf 0.000 0.215 0.309 x4
4 Ti 0.000 0.482 0.774 x4
5 N 0.000 0.054 0.355 x4
6 N 0.000 0.281 0.958 x4
7 N 0.000 0.310 0.679 x4
8 N 0.000 0.373 0.311 x4
9 N 0.000 0.494 0.091 x4

Properties
formation energy (no corrections) = -1530 meV per atom


A geometry-optimized CeTm2HfN4 structure. Source: Alexandria via LeMat-Bulk, functional PBE.

Unit cell a=5.846 b=3.382 c=5.902 alpha=90.00 beta=109.20 gamma=90.00
Space group P2/m (No. 10)
Inequivalent atoms, fractional coordinates:
1 Ce 0.000 0.000 0.000 x1
2 Tm 0.500 0.000 0.500 x1
3 Tm 0.500 0.500 0.000 x1
4 Hf 0.000 0.500 0.500 x1
5 N 0.238 0.000 0.733 x2
6 N 0.247 0.500 0.267 x2

Properties
formation energy (no corrections) = -1711 meV per atom


A geometry-optimized CeTm3Hf2N6 structure. Source: Alexandria via LeMat-Bulk, functional PBE.

Unit cell a=14.634 b=3.344 c=6.740 alpha=90.00 beta=103.07 gamma=90.00
Space group C2/m (No. 12)
Inequivalent atoms, fractional coordinates:
1 Ce 0.000 0.000 0.000 x2
2 Tm 0.000 0.000 0.500 x2
3 Tm 0.167 0.500 0.832 x4
4 Hf 0.169 0.500 0.338 x4
5 N 0.009 0.500 0.263 x4
6 N 0.171 0.000 0.102 x4
7 N 0.172 0.000 0.575 x4

Properties
formation energy (no corrections) = -1756 meV per atom


A geometry-optimized CeTmHfN3 structure. Source: Alexandria via LeMat-Bulk, functional PBE.

Unit cell a=5.830 b=3.391 c=8.763 alpha=90.00 beta=102.72 gamma=90.00
Space group P2_1/m (No. 11)
Inequivalent atoms, fractional coordinates:
1 Ce 0.149 0.250 0.190 x2
2 Tm 0.269 0.750 0.545 x2
3 Hf 0.364 0.250 0.860 x2
4 N 0.057 0.250 0.672 x2
5 N 0.260 0.750 0.987 x2
6 N 0.455 0.750 0.335 x2

Properties
formation energy (no corrections) = -1618 meV per atom


A geometry-optimized CeHfVN3 structure. Source: Alexandria via LeMat-Bulk, functional PBE.

Unit cell a=6.992 b=3.169 c=7.767 alpha=90.00 beta=97.41 gamma=90.00
Space group P2_1/m (No. 11)
Inequivalent atoms, fractional coordinates:
1 Ce 0.154 0.250 0.188 x2
2 Hf 0.361 0.750 0.863 x2
3 V 0.121 0.250 0.581 x2
4 N 0.140 0.250 0.849 x2
5 N 0.170 0.750 0.445 x2
6 N 0.417 0.750 0.134 x2

Properties
formation energy (no corrections) = -1295 meV per atom


A geometry-optimized CeYHfN3 structure. Source: Alexandria via LeMat-Bulk, functional PBE.

Unit cell a=5.867 b=3.416 c=8.838 alpha=90.00 beta=102.59 gamma=90.00
Space group P2_1/m (No. 11)
Inequivalent atoms, fractional coordinates:
1 Ce 0.148 0.250 0.189 x2
2 Y 0.269 0.750 0.546 x2
3 Hf 0.365 0.250 0.862 x2
4 N 0.058 0.250 0.678 x2
5 N 0.262 0.750 0.986 x2
6 N 0.452 0.750 0.329 x2

Properties
formation energy (no corrections) = -1584 meV per atom


A geometry-optimized Ce2YHfN4 structure. Source: Alexandria via LeMat-Bulk, functional PBE.

Unit cell a=5.943 b=3.414 c=6.031 alpha=90.00 beta=109.00 gamma=90.00
Space group P2/m (No. 10)
Inequivalent atoms, fractional coordinates:
1 Ce 0.000 0.000 0.000 x1
2 Ce 0.500 0.500 0.000 x1
3 Y 0.000 0.500 0.500 x1
4 Hf 0.500 0.000 0.500 x1
5 N 0.262 0.000 0.733 x2
6 N 0.273 0.500 0.276 x2

Properties
formation energy (no corrections) = -1630 meV per atom


A geometry-optimized CeY2HfN4 structure. Source: Alexandria via LeMat-Bulk, functional PBE.

Unit cell a=5.916 b=3.416 c=5.959 alpha=90.00 beta=109.14 gamma=90.00
Space group P2/m (No. 10)
Inequivalent atoms, fractional coordinates:
1 Ce 0.000 0.000 0.000 x1
2 Y 0.500 0.000 0.500 x1
3 Y 0.500 0.500 0.000 x1
4 Hf 0.000 0.500 0.500 x1
5 N 0.230 0.000 0.730 x2
6 N 0.239 0.500 0.265 x2

Properties
formation energy (no corrections) = -1657 meV per atom


> What is the formation energy (no corrections) in the tenth record?

-1584 meV per atom


> Which formula does entry 10 have?

CeYHfN3


> What is the formation energy (no corrections) in the fourth record?

-1568 meV per atom